Compound: KFeSeN2
Source: Alexandria
Functional: PBE
Structure: relaxed

Results
- Total energy: -3.47 eV per atom
- Energy relative to the lowest polymorph listed for this composition: 8.227 eV per formula unit
- Formation energy (no corrections): 2.46 eV per atom

Lattice parameters (Å, degrees): 4.6949 4.6949 6.3933 90.00 90.00 90.00
Closest atoms and distances in Å follow each position.
Space group P4/mmm (No. 123)
Inequivalent atoms, fractional coordinates:
1 K 0.0000 0.0000 0.0000  4 N 2.35
2 Fe 0.5000 0.5000 0.5000  4 Se 3.32
3 Se 0.0000 0.0000 0.5000  2 K 3.20, 4 Fe 3.32
4 N 0.0000 0.5000 0.0000  2 K 2.35